# 1
A relaxed structure of Ag2MoBr. Source: Alexandria, functional PBE-GGA.

Values from the calculation:
- Volume: 22.7 Å³ per atom
- Space group: No. 44
- N(E_F): 2.24 states/eV/cell
- Spin magnetization: 0.000 μB/atom
- Density: 7.18 g/cm3
- ΔE_f (raw): 500 meV per atom

Unit cell a=7.2936 b=7.2936 c=7.2936 alpha=156.48 beta=144.08 gamma=43.38
With the nearest neighbours (Å) after each atom.
Atoms (fractional coordinates):
Mo: 0.2733 0.7733 0.5000  2 Br 2.55, 4 Ag 2.82
Br: 0.4262 0.4262 0.0000  2 Mo 2.55
Ag: 0.0879 0.0879 0.0000  4 Ag 2.81-2.97, 2 Mo 2.92
Ag: 0.7125 0.2125 0.5000  4 Ag 2.81-2.97, 4 Mo 2.82



# 2
A relaxed structure of Ag6MoBr12. Source: Alexandria, functional PBE-GGA.

Values from the calculation:
- Volume: 32.9 Å³ per atom
- Space group: No. 148
- N(E_F): 3.28 states/eV/cell
- Spin magnetization: 0.003 μB/atom
- Density: 4.52 g/cm3
- ΔE_f (raw): -347 meV per atom

Unit cell a=8.5954 b=8.5954 c=8.5954 alpha=84.08 beta=84.08 gamma=84.08
With the nearest neighbours (Å) after each atom.
Atoms (fractional coordinates):
Br: 0.5974 0.4099 0.1804  3 Ag 2.61-2.85
Br: 0.9653 0.7130 0.0568  1 Mo 2.51
Br: 0.4026 0.5901 0.8196  3 Ag 2.61-2.85
Br: 0.4099 0.1804 0.5974  3 Ag 2.61-2.85
Br: 0.1804 0.5974 0.4099  3 Ag 2.61-2.85
Br: 0.0347 0.2870 0.9432  1 Mo 2.51
Br: 0.9432 0.0347 0.2870  1 Mo 2.51
Br: 0.7130 0.0568 0.9653  1 Mo 2.51
Br: 0.2870 0.9432 0.0347  1 Mo 2.51
Br: 0.0568 0.9653 0.7130  1 Mo 2.51
Br: 0.8196 0.4026 0.5901  3 Ag 2.61-2.85
Br: 0.5901 0.8196 0.4026  3 Ag 2.61-2.85
Ag: 0.1219 0.3124 0.5980  3 Br 2.61-2.85
Ag: 0.6876 0.4020 0.8781  3 Br 2.61-2.85
Ag: 0.8781 0.6876 0.4020  3 Br 2.61-2.85
Ag: 0.5980 0.1219 0.3124  3 Br 2.61-2.85
Ag: 0.3124 0.5980 0.1219  3 Br 2.61-2.85
Ag: 0.4020 0.8781 0.6876  3 Br 2.61-2.85
Mo: 0.0000 0.0000 0.0000  6 Br 2.51